[1]
Entry from the Alexandria database: a relaxed Nd6AgPt2 crystal (PBE).

The structure belongs to space group C2/m (No. 12); the cell edges are 10.472, 5.155 and 9.348 Å and the angles 90.00°, 99.90° and 90.00°. The distinct sites, in fractional coordinates, are Nd at (0.038, 0.000, 0.340), Nd at (0.155, 0.500, 0.906), Nd at (0.216, 0.500, 0.329), Ag at (0.000, 0.000, 0.000) and Pt at (0.120, 0.500, 0.601).

The value obtained for the distance to the lowest polymorph of the same formula is 8.7 kJ/mol of atoms. As for the calculated volume: 497.1 Å³ per cell. For the formation enthalpy at 0 K, the calculation gives -483 meV per atom. The spin magnetization comes out at 0.0 μB/f.u. As for the total energy: -5.32 eV per atom. Its crystal system is monoclinic.

***

[2]
Entry from the Alexandria database: a relaxed FePdI2N crystal (PBE).

The structure belongs to space group P4/mmm (No. 123); the cell edges are 5.692, 5.692 and 3.749 Å and the angles 90.00°, 90.00° and 90.00°. The distinct sites, in fractional coordinates, are Fe at (0.000, 0.000, 0.000), Pd at (0.500, 0.500, 0.500), I at (0.000, 0.500, 0.500) and N at (0.500, 0.500, 0.000).

The value obtained for the distance to the lowest polymorph of the same formula is 51.5 kJ/mol of atoms. As for the calculated volume: 121.4 Å³ per cell. As for the formation energy from raw total energies: 1.0134 eV/atom. The spin magnetization comes out at 3.5 μB/f.u. As for the total energy: -4.00 eV per atom. Its crystal system is tetragonal.